! PBE HfVFe2Co, optimized geometry; values from VASP
! ΔE_f   290 kJ/mol of formula units
! E_tot   -8.020 eV/atom
&SYSTEM
  ibrav = 0, nat = 5, ntyp = 4
/
ATOMIC_SPECIES
Hf 178.49 Hf.upf
V 50.94 V.upf
Fe 55.84 Fe.upf
Co 58.93 Co.upf
CELL_PARAMETERS angstrom
4.385 0.000 0.000
0.000 4.385 0.000
0.000 0.000 4.114
ATOMIC_POSITIONS crystal
Hf 0.000 0.000 0.000
V 0.500 0.500 0.000
Fe 0.000 0.500 0.500
Fe 0.500 0.000 0.500
Co 0.500 0.500 0.500

***

! PBE Sr2Li2Zr, optimized geometry; values from VASP
! ΔE_f   261 kJ/mol of formula units
! E_tot   -2.608 eV/atom
&SYSTEM
  ibrav = 0, nat = 10, ntyp = 3
/
ATOMIC_SPECIES
Sr 87.62 Sr.upf
Li 6.94 Li.upf
Zr 91.22 Zr.upf
CELL_PARAMETERS angstrom
9.381 0.000 0.000
0.000 9.381 0.000
0.000 0.000 3.548
ATOMIC_POSITIONS crystal
Sr 0.153 0.347 0.000
Sr 0.347 0.847 0.000
Sr 0.653 0.153 0.000
Sr 0.847 0.653 0.000
Li 0.149 0.649 0.500
Li 0.351 0.149 0.500
Li 0.649 0.851 0.500
Li 0.851 0.351 0.500
Zr 0.000 0.000 0.000
Zr 0.500 0.500 0.000

***

! PBE ZnMoCl2, optimized geometry; values from VASP
! Energy relative to the elements, uncorrected   -18.6 kJ/mol of atoms
! E_tot   -4.142 eV/atom
&SYSTEM
  ibrav = 0, nat = 4, ntyp = 3
/
ATOMIC_SPECIES
Zn 65.41 Zn.upf
Mo 95.94 Mo.upf
Cl 35.45 Cl.upf
CELL_PARAMETERS angstrom
5.034 -1.509 0.000
5.034 1.509 0.000
-2.691 0.000 6.865
ATOMIC_POSITIONS crystal
Zn 0.000 0.000 0.000
Mo 0.730 0.730 0.000
Cl 0.181 0.181 0.719
Cl 0.331 0.331 0.281

***

! PBE Na2SrPd, optimized geometry; values from VASP
! ΔE_f   96 kJ/mol of formula units
! E_tot   -2.130 eV/atom
&SYSTEM
  ibrav = 0, nat = 4, ntyp = 3
/
ATOMIC_SPECIES
Na 22.99 Na.upf
Sr 87.62 Sr.upf
Pd 106.42 Pd.upf
CELL_PARAMETERS angstrom
1.893 1.093 11.458
-1.893 1.093 11.458
0.000 -2.186 11.458
ATOMIC_POSITIONS crystal
Na 0.112 0.112 0.112
Na 0.888 0.888 0.888
Sr 0.000 0.000 0.000
Pd 0.500 0.500 0.500